14
Lattice="4.724 0.000 0.000 0.000 4.724 0.000 0.000 0.000 16.949" Properties=species:S:1:pos:R:3 comment="PBE K2SrCl2F2, optimized geometry" density_g_cm3=2.41 energy_ev_per_atom=-4.3259 magnetic_moment_mub_per_fu=0.00 dos_at_fermi_per_ev_cell=0.0 space_group="I4/mmm (139)" e_form_raw_ev_per_atom=-2.71 pbc="T T T"
K 0.000 0.000 2.430
K 0.000 0.000 14.520
K 2.362 2.362 6.045
K 2.362 2.362 10.905
Sr 0.000 0.000 8.475
Sr 2.362 2.362 0.000
Cl 0.000 0.000 5.563
Cl 0.000 0.000 11.386
Cl 2.362 2.362 2.912
Cl 2.362 2.362 14.038
F 0.000 2.362 0.000
F 0.000 2.362 8.475
F 2.362 0.000 0.000
F 2.362 0.000 8.475